[1]
# CaAl2Fe meta-GGA SCAN PBEsol geometry
data_CaAl2Fe
_chemical_formula_sum 'Ca1 Al2 Fe1'
_symmetry_space_group_name_H-M 'P 1'
_symmetry_Int_Tables_number 1
_cell_length_a 5.666
_cell_length_b 5.666
_cell_length_c 5.666
_cell_angle_alpha 149.73
_cell_angle_beta 128.66
_cell_angle_gamma 60.77
loop_
_symmetry_equiv_pos_as_xyz
'x,y,z'
loop_
_atom_site_label
_atom_site_fract_x
_atom_site_fract_y
_atom_site_fract_z
_atom_site_occupancy
Ca1 0.000 0.000 0.000 1
Al1 0.294 0.794 0.500 1
Al2 0.706 0.206 0.500 1
Fe1 0.500 0.500 0.000 1
# - Uncorrected energy: -10.73 eV per atom
# - D(E_F): 0.640 states/eV per atom


[2]
# CaAl8Fe4 meta-GGA SCAN PBEsol geometry
data_CaAl8Fe4
_chemical_formula_sum 'Ca1 Al8 Fe4'
_symmetry_space_group_name_H-M 'P 1'
_symmetry_Int_Tables_number 1
_cell_length_a 6.587
_cell_length_b 6.587
_cell_length_c 6.587
_cell_angle_alpha 98.28
_cell_angle_beta 98.28
_cell_angle_gamma 135.39
loop_
_symmetry_equiv_pos_as_xyz
'x,y,z'
loop_
_atom_site_label
_atom_site_fract_x
_atom_site_fract_y
_atom_site_fract_z
_atom_site_occupancy
Ca1 0.000 0.000 0.000 1
Al1 0.000 0.337 0.337 1
Al2 0.000 0.663 0.663 1
Al3 0.276 0.500 0.776 1
Al4 0.337 0.000 0.337 1
Al5 0.500 0.276 0.776 1
Al6 0.500 0.724 0.224 1
Al7 0.663 0.000 0.663 1
Al8 0.724 0.500 0.224 1
Fe1 0.000 0.000 0.500 1
Fe2 0.000 0.500 0.000 1
Fe3 0.500 0.000 0.000 1
Fe4 0.500 0.500 0.500 1
# - Uncorrected energy: -11.47 eV per atom
# - D(E_F): 0.466 states/eV per atom


[3]
# CaAlFe2 meta-GGA SCAN PBEsol geometry
data_CaAlFe2
_chemical_formula_sum 'Ca1 Al1 Fe2'
_symmetry_space_group_name_H-M 'P 1'
_symmetry_Int_Tables_number 1
_cell_length_a 9.009
_cell_length_b 9.009
_cell_length_c 9.009
_cell_angle_alpha 17.97
_cell_angle_beta 17.97
_cell_angle_gamma 17.97
loop_
_symmetry_equiv_pos_as_xyz
'x,y,z'
loop_
_atom_site_label
_atom_site_fract_x
_atom_site_fract_y
_atom_site_fract_z
_atom_site_occupancy
Ca1 0.000 0.000 0.000 1
Al1 0.500 0.500 0.500 1
Fe1 0.242 0.242 0.242 1
Fe2 0.758 0.758 0.758 1
# - Uncorrected energy: -12.93 eV per atom
# - D(E_F): 0.600 states/eV per atom